Run P
Below is a relaxed MgHgS2 crystal, with properties calculated at the PBE level.

Values from the calculation:
space-group type	Fm-3m (225)

Structure (extended XYZ):
```
4
Lattice="0.000 3.380 3.380 3.380 0.000 3.380 3.380 3.380 0.000" Properties=species:S:1:pos:R:3 pbc="T T T"
S 5.070 5.070 5.070
S 1.690 1.690 1.690
Hg 3.380 3.380 3.380
Mg 0.000 0.000 0.000
```



Run Q
Below is a relaxed MgHgS2 crystal, with properties calculated at the PBE level.

Values from the calculation:
space-group type	C2/c (15)

Structure (extended XYZ):
```
32
Lattice="16.181 0.000 -0.165 2.638 6.892 -3.336 -2.638 6.892 3.336" Properties=species:S:1:pos:R:3 pbc="T T T"
Hg 4.694 6.986 1.068
Hg 11.488 6.799 -1.234
Hg 0.759 6.986 2.185
Hg 10.027 2.978 -0.072
Hg 14.245 9.870 -0.176
Hg 1.936 3.915 0.011
Hg 15.422 6.799 -2.351
Hg 6.154 10.807 -0.093
S 10.817 6.154 1.544
S 14.547 6.746 1.491
S 3.860 11.400 0.021
S 5.364 7.630 -1.709
S 1.634 7.038 -1.656
S 9.095 7.038 -1.762
S 15.869 3.191 0.015
S 4.231 4.508 -0.103
S 13.455 5.450 -1.792
S 8.403 10.083 -0.263
S 2.726 8.334 1.627
S 12.321 2.384 -0.186
S 0.312 10.593 -0.181
S 7.778 3.701 0.098
S 11.951 9.276 -0.062
S 7.087 6.746 1.597
Mg 12.485 7.886 2.279
Mg 5.690 2.360 0.659
Mg 2.400 9.252 -0.742
Mg 10.491 11.424 -0.824
Mg 7.032 5.899 -0.975
Mg 3.697 5.899 -2.444
Mg 13.781 4.532 0.576
Mg 9.149 7.886 0.810
```



The structure with the greatest stability is run Q.